Entry 1:
Compound: Mg8AgHg2
Source: the Alexandria database
Functional: PBE-GGA
Structure: optimized geometry

- ΔE_f: -0.10 eV/atom
- Energy relative to the lowest polymorph listed for this composition: 0.036 eV/atom
- Space-group type: C2/m (12)
- Mass density: 4.770 g/cm³

Lattice parameters (Å, degrees): 5.139 7.698 7.698 119.13 101.41 101.41
Atoms (fractional coordinates):
Mg 0.123 0.321 0.096
Mg 0.500 0.788 0.212
Mg 0.693 0.387 0.387
Mg 0.877 0.679 0.904
Mg 0.123 0.096 0.321
Mg 0.877 0.904 0.679
Mg 0.307 0.613 0.613
Mg 0.500 0.212 0.788
Ag 0.500 0.000 0.000
Hg 0.000 0.303 0.697
Hg 0.000 0.697 0.303

Entry 2:
Compound: TmSi3TcIr
Source: the Alexandria database
Functional: PBE-GGA
Structure: optimized geometry

- Formation energy from raw total energies: -0.36 eV/atom
- Space-group type: Cmcm (63)
- Mass density: 7.643 g/cm³

Lattice parameters (Å, degrees): 5.384 7.707 6.873 124.10 90.00 90.00
Atoms (fractional coordinates):
Tc 0.250 0.439 0.878
Tc 0.750 0.561 0.122
Tm 0.750 0.287 0.575
Tm 0.250 0.713 0.425
Si 0.500 0.748 0.000
Si 0.500 0.252 0.000
Si 0.000 0.252 0.000
Si 0.250 0.245 0.490
Si 0.000 0.748 0.000
Si 0.750 0.755 0.510
Ir 0.250 0.053 0.105
Ir 0.750 0.947 0.895

Entry 3:
Compound: Pm5Sm2Tm2
Source: the Alexandria database
Functional: PBE-GGA
Structure: optimized geometry

- ΔE_f: 0.02 eV/atom
- Energy relative to the lowest polymorph listed for this composition: 0.000 eV/atom
- Space-group type: C2/m (12)
- Mass density: 7.568 g/cm³

Lattice parameters (Å, degrees): 6.255 6.255 13.975 58.54 132.14 131.85
Atoms (fractional coordinates):
Pm 0.000 0.000 0.000
Pm 0.778 0.667 0.445
Pm 0.444 0.667 0.111
Pm 0.222 0.333 0.555
Pm 0.556 0.333 0.889
Sm 0.669 0.999 0.668
Sm 0.331 0.001 0.332
Tm 0.890 0.333 0.223
Tm 0.110 0.667 0.777

Entry 4:
Compound: Dy6P5
Source: the Alexandria database
Functional: PBE-GGA
Structure: optimized geometry

- ΔE_f: -1.47 eV/atom
- Space-group type: C2/m (12)
- Mass density: 7.005 g/cm³

Lattice parameters (Å, degrees): 6.905 6.898 6.890 120.04 99.60 70.54
Atoms (fractional coordinates):
Dy 0.253 0.574 0.659
Dy 0.253 0.915 0.341
Dy 0.747 0.085 0.659
Dy 0.744 0.744 0.000
Dy 0.256 0.256 0.000
Dy 0.747 0.426 0.341
P 0.000 0.333 0.667
P 0.000 0.667 0.333
P 0.500 0.166 0.333
P 0.500 0.834 0.667
P 0.500 0.500 0.000

Entry 5:
Compound: KSi2P
Source: the Alexandria database
Functional: PBE-GGA
Structure: optimized geometry

- Formation energy from raw total energies: 0.15 eV/atom
- Energy relative to the lowest polymorph listed for this composition: 0.049 eV/atom
- Space-group type: P4mm (99)
- Mass density: 2.526 g/cm³

Lattice parameters (Å, degrees): 3.472 3.472 6.886 90.00 90.00 90.00
Atoms (fractional coordinates):
Si 0.000 0.000 0.990
Si 0.500 0.500 0.165
K 0.000 0.000 0.504
P 0.500 0.500 0.842

Entry 6:
Compound: CuTeN
Source: the Alexandria database
Functional: PBE-GGA
Structure: optimized geometry

- Formation energy from raw total energies: 0.58 eV/atom
- Energy relative to the lowest polymorph listed for this composition: 0.085 eV/atom
- Space-group type: P2_1/c (14)
- Mass density: 6.013 g/cm³

Lattice parameters (Å, degrees): 17.545 4.377 7.776 90.00 157.70 90.00
Atoms (fractional coordinates):
N 0.657 0.950 0.429
N 0.343 0.050 0.571
N 0.843 0.450 0.571
N 0.157 0.550 0.429
Cu 0.893 0.721 0.882
Cu 0.607 0.221 0.118
Cu 0.107 0.279 0.118
Cu 0.393 0.779 0.882
Te 0.706 0.612 0.068
Te 0.206 0.888 0.068
Te 0.294 0.388 0.932
Te 0.794 0.112 0.932